1.
## Sb2PbSe2 (SCAN)

Data for a PBEsol-optimized structure of Sb2PbSe2.

Cell lengths 8.3065, 8.3065, 3.7219 Å; angles 90.00, 90.00, 90.00 degrees
Sites, in units of the cell vectors:
Sb (0.1465, 0.3535, 0.0000)
Sb (0.3535, 0.8535, 0.0000)
Sb (0.6465, 0.1465, 0.0000)
Sb (0.8535, 0.6465, 0.0000)
Pb (0.0000, 0.0000, 0.0000)
Pb (0.5000, 0.5000, 0.0000)
Se (0.1803, 0.6803, 0.5000)
Se (0.3197, 0.1803, 0.5000)
Se (0.6803, 0.8197, 0.5000)
Se (0.8197, 0.3197, 0.5000)

Values from the calculation:
The raw formation energy is 0.05 eV per atom. The calculated density comes out at 7871 kg/m³. The volume is 257 Å³ per cell. The energy comes out at -38.043 eV per atom.



2.
## TcSb2PbSe (SCAN)

Data for a PBEsol-optimized structure of TcSb2PbSe.

Cell lengths 5.0103, 5.0103, 5.2686 Å; angles 90.00, 90.00, 90.00 degrees
Sites, in units of the cell vectors:
Tc (0.0000, 0.0000, 0.0000)
Sb (0.0000, 0.5000, 0.0000)
Sb (0.5000, 0.0000, 0.0000)
Pb (0.0000, 0.0000, 0.5000)
Se (0.5000, 0.5000, 0.5000)

Values from the calculation:
The raw formation energy is 0.21 eV per atom. The calculated density comes out at 7881 kg/m³. The volume is 132 Å³ per cell. The energy comes out at -40.878 eV per atom.



3.
## SiSb2Pb (SCAN)

Data for a PBEsol-optimized structure of SiSb2Pb.

Cell lengths 4.6171, 4.6171, 4.6731 Å; angles 90.00, 90.00, 90.00 degrees
Sites, in units of the cell vectors:
Si (0.0000, 0.0000, 0.0000)
Sb (0.0000, 0.5000, 0.5000)
Sb (0.5000, 0.0000, 0.5000)
Pb (0.5000, 0.5000, 0.0000)

Values from the calculation:
The raw formation energy is 0.53 eV per atom. The energy above the most stable polymorph in this dataset comes out at 17 meV per atom. The calculated density comes out at 7981 kg/m³. The volume is 100 Å³ per cell. The energy comes out at -39.550 eV per atom.



4.
## SiSb2Pb (SCAN)

Data for a PBEsol-optimized structure of SiSb2Pb.

Cell lengths 5.1683, 5.1683, 5.1683 Å; angles 60.00, 60.00, 60.00 degrees
Sites, in units of the cell vectors:
Si (0.0000, 0.0000, 0.0000)
Sb (0.5000, 0.5000, 0.5000)
Sb (0.7500, 0.7500, 0.7500)
Pb (0.2500, 0.2500, 0.2500)

Values from the calculation:
The raw formation energy is 0.51 eV per atom. The energy above the most stable polymorph in this dataset comes out at 0 meV per atom. The calculated density comes out at 8145 kg/m³. The volume is 98 Å³ per cell. The energy comes out at -39.567 eV per atom.



5.
## SiSbPb2 (SCAN)

Data for a PBEsol-optimized structure of SiSbPb2.

Cell lengths 7.1372, 7.1372, 7.1372 Å; angles 150.02, 143.56, 47.88 degrees
Sites, in units of the cell vectors:
Si (0.0000, 0.0000, 0.0000)
Sb (0.5000, 0.5000, 0.0000)
Pb (0.1834, 0.6834, 0.5000)
Pb (0.8166, 0.3166, 0.5000)

Values from the calculation:
The raw formation energy is 0.31 eV per atom. The energy above the most stable polymorph in this dataset comes out at 79 meV per atom. The calculated density comes out at 8717 kg/m³. The volume is 107 Å³ per cell. The energy comes out at -49.402 eV per atom.



6.
## SiSbPb2 (SCAN)

Data for a PBEsol-optimized structure of SiSbPb2.

Cell lengths 3.5607, 3.5607, 8.0491 Å; angles 90.00, 90.00, 90.00 degrees
Sites, in units of the cell vectors:
Si (0.0000, 0.0000, 0.0000)
Sb (0.5000, 0.5000, 0.8342)
Pb (0.0000, 0.0000, 0.5475)
Pb (0.5000, 0.5000, 0.2462)

Values from the calculation:
The raw formation energy is 0.34 eV per atom. The energy above the most stable polymorph in this dataset comes out at 113 meV per atom. The calculated density comes out at 9181 kg/m³. The volume is 102 Å³ per cell. The energy comes out at -49.368 eV per atom.



7.
## SiSbPb2 (SCAN)

Data for a PBEsol-optimized structure of SiSbPb2.

Cell lengths 8.4876, 8.4876, 8.4876 Å; angles 26.63, 26.63, 26.63 degrees
Sites, in units of the cell vectors:
Si (0.0000, 0.0000, 0.0000)
Sb (0.7237, 0.7237, 0.7237)
Pb (0.2543, 0.2543, 0.2543)
Pb (0.4882, 0.4882, 0.4882)

Values from the calculation:
The raw formation energy is 0.23 eV per atom. The energy above the most stable polymorph in this dataset comes out at 0 meV per atom. The calculated density comes out at 8651 kg/m³. The volume is 108 Å³ per cell. The energy comes out at -49.481 eV per atom.



8.
## SiSbPb2 (SCAN)

Data for a PBEsol-optimized structure of SiSbPb2.

Cell lengths 5.2507, 5.2507, 5.2507 Å; angles 60.00, 60.00, 60.00 degrees
Sites, in units of the cell vectors:
Si (0.0000, 0.0000, 0.0000)
Sb (0.5000, 0.5000, 0.5000)
Pb (0.2500, 0.2500, 0.2500)
Pb (0.7500, 0.7500, 0.7500)

Values from the calculation:
The raw formation energy is 0.47 eV per atom. The energy above the most stable polymorph in this dataset comes out at 243 meV per atom. The calculated density comes out at 9153 kg/m³. The volume is 102 Å³ per cell. The energy comes out at -49.238 eV per atom.



9.
## SnSbPb3 (SCAN)

Data for a PBEsol-optimized structure of SnSbPb3.

Cell lengths 5.7348, 5.7348, 5.7348 Å; angles 90.00, 90.00, 90.00 degrees
Sites, in units of the cell vectors:
Sn (0.0000, 0.0000, 0.0000)
Sb (0.5000, 0.5000, 0.5000)
Pb (0.0000, 0.5000, 0.5000)
Pb (0.5000, 0.0000, 0.5000)
Pb (0.5000, 0.5000, 0.0000)

Values from the calculation:
The raw formation energy is 0.61 eV per atom. The calculated density comes out at 7590 kg/m³. The volume is 189 Å³ per cell. The energy comes out at -59.495 eV per atom.



10.
## SrSnSbPb2 (SCAN)

Data for a PBEsol-optimized structure of SrSnSbPb2.

Cell lengths 5.6853, 5.6853, 5.7466 Å; angles 90.00, 90.00, 90.00 degrees
Sites, in units of the cell vectors:
Sr (0.0000, 0.0000, 0.0000)
Sn (0.5000, 0.5000, 0.5000)
Sb (0.5000, 0.5000, 0.0000)
Pb (0.0000, 0.5000, 0.5000)
Pb (0.5000, 0.0000, 0.5000)

Values from the calculation:
The raw formation energy is 0.12 eV per atom. The calculated density comes out at 6638 kg/m³. The volume is 186 Å³ per cell. The energy comes out at -49.280 eV per atom.



11.
## SrSb4Pb (SCAN)

Data for a PBEsol-optimized structure of SrSb4Pb.

Cell lengths 6.3005, 6.3005, 6.3005 Å; angles 60.00, 60.00, 60.00 degrees
Sites, in units of the cell vectors:
Sr (0.0000, 0.0000, 0.0000)
Sb (0.3758, 0.3758, 0.3758)
Sb (0.3758, 0.3758, 0.8725)
Sb (0.3758, 0.8725, 0.3758)
Sb (0.8725, 0.3758, 0.3758)
Pb (0.7500, 0.7500, 0.7500)

Values from the calculation:
The raw formation energy is -0.18 eV per atom. The calculated density comes out at 7341 kg/m³. The volume is 177 Å³ per cell. The energy comes out at -41.362 eV per atom.



12.
## TaSb2Pb (SCAN)

Data for a PBEsol-optimized structure of TaSb2Pb.

Cell lengths 3.0708, 3.0708, 10.4291 Å; angles 90.00, 90.00, 90.00 degrees
Sites, in units of the cell vectors:
Ta (0.0000, 0.0000, 0.0000)
Sb (0.0000, 0.0000, 0.5137)
Sb (0.5000, 0.5000, 0.8006)
Pb (0.5000, 0.5000, 0.2240)

Values from the calculation:
The raw formation energy is 0.36 eV per atom. The calculated density comes out at 10666 kg/m³. The volume is 98 Å³ per cell. The energy comes out at -53.860 eV per atom.



13.
## Ta2SbPb (SCAN)

Data for a PBEsol-optimized structure of Ta2SbPb.

Cell lengths 5.0942, 5.0942, 5.0670 Å; angles 96.24, 96.24, 39.36 degrees
Sites, in units of the cell vectors:
Ta (0.2474, 0.2474, 0.2270)
Ta (0.7526, 0.7526, 0.7730)
Sb (0.5000, 0.5000, 0.0000)
Pb (0.0000, 0.0000, 0.5000)

Values from the calculation:
The raw formation energy is 0.47 eV per atom. The energy above the most stable polymorph in this dataset comes out at 40 meV per atom. The calculated density comes out at 13848 kg/m³. The volume is 83 Å³ per cell. The energy comes out at -61.084 eV per atom.



14.
## TaSb2Pb (SCAN)

Data for a PBEsol-optimized structure of TaSb2Pb.

Cell lengths 3.5429, 4.9998, 5.2355 Å; angles 90.00, 90.00, 90.00 degrees
Sites, in units of the cell vectors:
Ta (0.0000, 0.0000, 0.0000)
Sb (0.0000, 0.5000, 0.5000)
Sb (0.5000, 0.5000, 0.0000)
Pb (0.5000, 0.0000, 0.5000)

Values from the calculation:
The raw formation energy is 0.67 eV per atom. The calculated density comes out at 11310 kg/m³. The volume is 93 Å³ per cell. The energy comes out at -53.552 eV per atom.



15.
## Ta2SbPb (SCAN)

Data for a PBEsol-optimized structure of Ta2SbPb.

Cell lengths 5.6068, 5.6068, 5.6068 Å; angles 143.09, 128.82, 64.75 degrees
Sites, in units of the cell vectors:
Ta (0.0000, 0.0000, 0.0000)
Ta (0.7681, 0.2681, 0.5000)
Sb (0.5308, 0.5308, 0.0000)
Pb (0.2540, 0.7540, 0.5000)

Values from the calculation:
The raw formation energy is 0.43 eV per atom. The energy above the most stable polymorph in this dataset comes out at 0 meV per atom. The calculated density comes out at 14093 kg/m³. The volume is 81 Å³ per cell. The energy comes out at -61.124 eV per atom.



16.
## TaSb2Pb (SCAN)

Data for a PBEsol-optimized structure of TaSb2Pb.

Cell lengths 3.0865, 3.0865, 10.4994 Å; angles 90.00, 90.00, 101.73 degrees
Sites, in units of the cell vectors:
Ta (0.0000, 0.0000, 0.0000)
Sb (0.0000, 0.0000, 0.4933)
Sb (0.5000, 0.5000, 0.1998)
Pb (0.5000, 0.5000, 0.7768)

Values from the calculation:
The raw formation energy is 0.35 eV per atom. The calculated density comes out at 10710 kg/m³. The volume is 98 Å³ per cell. The energy comes out at -53.876 eV per atom.



17.
## TcSbPb (SCAN)

Data for a PBEsol-optimized structure of TcSbPb.

Cell lengths 4.7457, 4.7457, 4.7457 Å; angles 60.00, 60.00, 60.00 degrees
Sites, in units of the cell vectors:
Tc (0.0000, 0.0000, 0.0000)
Sb (0.2500, 0.2500, 0.2500)
Pb (0.5000, 0.5000, 0.5000)

Values from the calculation:
The raw formation energy is 0.99 eV per atom. The calculated density comes out at 9381 kg/m³. The volume is 76 Å³ per cell. The energy comes out at -48.373 eV per atom.



18.
## Tc2SbPb (SCAN)

Data for a PBEsol-optimized structure of Tc2SbPb.

Cell lengths 5.1243, 5.1243, 4.9960 Å; angles 109.50, 109.50, 35.95 degrees
Sites, in units of the cell vectors:
Tc (0.0000, 0.0000, 0.0000)
Tc (0.7124, 0.7124, 0.3718)
Sb (0.4641, 0.4641, 0.5102)
Pb (0.2485, 0.2485, 0.8818)

Values from the calculation:
The raw formation energy is 0.48 eV per atom. The energy above the most stable polymorph in this dataset comes out at 283 meV per atom. The calculated density comes out at 12088 kg/m³. The volume is 72 Å³ per cell. The energy comes out at -45.312 eV per atom.



19.
## Tc2SbPb (SCAN)

Data for a PBEsol-optimized structure of Tc2SbPb.

Cell lengths 3.0507, 3.0507, 8.3565 Å; angles 90.00, 90.00, 90.00 degrees
Sites, in units of the cell vectors:
Tc (0.0000, 0.0000, 0.0000)
Tc (0.5000, 0.5000, 0.1781)
Sb (0.5000, 0.5000, 0.7817)
Pb (0.0000, 0.0000, 0.4274)

Values from the calculation:
The raw formation energy is 0.20 eV per atom. The energy above the most stable polymorph in this dataset comes out at 0 meV per atom. The calculated density comes out at 11209 kg/m³. The volume is 78 Å³ per cell. The energy comes out at -45.594 eV per atom.



20.
## TcSb3Pb (SCAN)

Data for a PBEsol-optimized structure of TcSb3Pb.

Cell lengths 5.5811, 5.5811, 5.5811 Å; angles 90.00, 90.00, 90.00 degrees
Sites, in units of the cell vectors:
Tc (0.0000, 0.0000, 0.0000)
Sb (0.0000, 0.5000, 0.5000)
Sb (0.5000, 0.0000, 0.5000)
Sb (0.5000, 0.5000, 0.0000)
Pb (0.5000, 0.5000, 0.5000)

Values from the calculation:
The raw formation energy is 1.69 eV per atom. The calculated density comes out at 6405 kg/m³. The volume is 174 Å³ per cell. The energy comes out at -42.835 eV per atom.